[1]
Computed, not measured: crystalline NaScGe at its relaxed geometry at the PBE level of DFT.

**Total moment**: 0.00 Bohr magnetons per cell
**Symmetry**: P6_3/mmc
**ΔE_f**: -0.3863 eV per atom

Unit cell a=4.9274 b=4.9274 c=5.8184 alpha=90.00 beta=90.00 gamma=120.00
Positions (direct):
Na 0.0000 0.0000 0.0000
Na 0.0000 0.0000 0.5000
Sc 0.3333 0.6667 0.2500
Sc 0.6667 0.3333 0.7500
Ge 0.3333 0.6667 0.7500
Ge 0.6667 0.3333 0.2500

---

[2]
Computed, not measured: crystalline NaScGe at its relaxed geometry at the PBE level of DFT.

**Total moment**: 0.00 Bohr magnetons per cell
**Symmetry**: P6_3/mmc
**ΔE_f**: 1.0034 eV per atom

Unit cell a=5.7456 b=5.7456 c=10.1559 alpha=90.00 beta=90.00 gamma=120.00
Positions (direct):
Na 0.3333 0.6667 0.2500
Na 0.6667 0.3333 0.7500
Sc 0.0000 0.0000 0.2500
Sc 0.0000 0.0000 0.7500
Ge 0.0000 0.0000 0.0000
Ge 0.0000 0.0000 0.5000

---

Uncorrected energy for every record listed, in sequence, given in eV/f.u.: -13.4, -9.3.